DFT (PBE) results for LiGeF2 after structural relaxation.

Geometry as extended XYZ:
```
4
Lattice="4.180 5.951 1.663 5.040 3.982 3.795 6.291 3.873 1.041" Properties=species:S:1:pos:R:3 pbc="T T T"
Ge 7.755 6.903 3.250
Li 0.000 0.000 0.000
F 1.208 1.076 0.506
F 14.303 12.730 5.993
```

Computed properties:
SG	No. 166
volume	57.5	Å³/cell
excess energy over the best structure of this formula in the dataset	0.4933	eV/atom
energy relative to the elements, uncorrected	-1677.2	meV per atom
size of the total moment	0.0	μB per formula unit